No. 1
{"formula": "TlMo2Au", "functional": "GGA-PBE", "state": "optimized geometry", "energy_ev_per_atom": -6.2753, "dos_ef_per_ev_atom": 0.78, "formation_enthalpy_0k_ev_per_atom": 0.551, "total_magnetization_mub_per_fu": 0.00, "lattice": [[-0.587, -4.230, -1.449], [3.557, -0.998, 1.472], [-1.701, -0.952, 3.466]], "species": ["Au", "Mo", "Mo", "Tl"], "frac_coords": [[0.500, 0.000, 0.500], [0.000, 0.000, 0.000], [0.000, 0.500, 0.500], [0.500, 0.500, 0.000]]}

---

No. 2
{"formula": "TlMo2Au", "functional": "GGA-PBE", "state": "optimized geometry", "energy_ev_per_atom": -6.1032, "dos_ef_per_ev_atom": 0.88, "formation_enthalpy_0k_ev_per_atom": 0.723, "total_magnetization_mub_per_fu": 0.00, "lattice": [[-3.097, -3.842, 0.475], [1.295, -1.601, -4.509], [2.148, -1.586, 1.180]], "species": ["Au", "Mo", "Mo", "Tl"], "frac_coords": [[0.000, 0.500, 0.500], [0.000, 0.000, 0.000], [0.500, 0.500, 0.000], [0.500, 0.000, 0.500]]}

---

No. 3
{"formula": "TlMo2Au", "functional": "GGA-PBE", "state": "optimized geometry", "energy_ev_per_atom": -6.2861, "dos_ef_per_ev_atom": 0.66, "formation_enthalpy_0k_ev_per_atom": 0.540, "total_magnetization_mub_per_fu": 0.00, "lattice": [[5.283, 0.006, -0.030], [2.264, 4.773, 0.030], [-3.761, -2.409, 2.821]], "species": ["Au", "Mo", "Mo", "Tl"], "frac_coords": [[0.250, 0.750, 0.500], [0.000, 0.000, 0.000], [0.500, 0.500, 0.000], [0.750, 0.250, 0.500]]}

---

No. 4
{"formula": "TlMoAu2", "functional": "GGA-PBE", "state": "optimized geometry", "energy_ev_per_atom": -4.5569, "dos_ef_per_ev_atom": 0.61, "formation_enthalpy_0k_ev_per_atom": 0.381, "total_magnetization_mub_per_fu": 0.00, "lattice": [[2.941, 0.028, 0.000], [-0.029, 2.941, 0.000], [0.000, 0.000, 8.771]], "species": ["Au", "Au", "Mo", "Tl"], "frac_coords": [[0.000, 0.000, 0.018], [0.500, 0.500, 0.262], [0.000, 0.000, 0.480], [0.500, 0.500, 0.740]]}

---

No. 5
{"formula": "TlMo2Au", "functional": "GGA-PBE", "state": "optimized geometry", "energy_ev_per_atom": -6.2624, "dos_ef_per_ev_atom": 0.79, "formation_enthalpy_0k_ev_per_atom": 0.564, "total_magnetization_mub_per_fu": 0.00, "lattice": [[-2.651, 0.686, -3.368], [1.088, -2.400, -1.345], [-2.930, -5.608, 1.164]], "species": ["Au", "Mo", "Mo", "Tl"], "frac_coords": [[0.500, 0.750, 0.750], [0.000, 0.037, 0.961], [0.000, 0.463, 0.539], [0.500, 0.250, 0.250]]}

---

No. 6
{"formula": "TlMo2WAu", "functional": "GGA-PBE", "state": "optimized geometry", "energy_ev_per_atom": -5.7810, "dos_ef_per_ev_atom": 1.37, "formation_enthalpy_0k_ev_per_atom": 2.271, "total_magnetization_mub_per_fu": 0.00, "lattice": [[-4.280, -2.038, -1.223], [2.304, -4.145, -1.155], [-0.556, -1.590, 4.596]], "species": ["Tl", "Au", "Mo", "Mo", "W"], "frac_coords": [[0.500, 0.500, 0.500], [0.000, 0.000, 0.000], [0.000, 0.000, 0.500], [0.500, 0.000, 0.000], [0.000, 0.500, 0.000]]}

---

No. 7
{"formula": "TlMo2WAu", "functional": "GGA-PBE", "state": "optimized geometry", "energy_ev_per_atom": -6.5234, "dos_ef_per_ev_atom": 0.89, "formation_enthalpy_0k_ev_per_atom": 1.528, "total_magnetization_mub_per_fu": 2.69, "lattice": [[-4.370, -1.323, -1.542], [-0.128, -3.753, 3.582], [-2.028, 3.054, 3.128]], "species": ["Tl", "Au", "Mo", "Mo", "W"], "frac_coords": [[0.500, 0.500, 0.500], [0.000, 0.500, 0.000], [0.000, 0.000, 0.500], [0.500, 0.000, 0.000], [0.000, 0.000, 0.000]]}

---

No. 8
{"formula": "UMoAu", "functional": "GGA-PBE", "state": "optimized geometry", "energy_ev_per_atom": -8.1302, "dos_ef_per_ev_atom": 1.08, "formation_enthalpy_0k_ev_per_atom": 0.335, "total_magnetization_mub_per_fu": 0.00, "lattice": [[7.741, 0.000, 0.000], [3.870, 3.575, 0.000], [3.870, 0.000, 4.616]], "species": ["U", "U", "Au", "Au", "Mo", "Mo"], "frac_coords": [[0.750, 0.500, 0.500], [0.250, 0.500, 0.500], [0.806, 0.389, 0.000], [0.194, 0.611, 0.000], [0.708, 0.000, 0.584], [0.292, 0.000, 0.416]]}

---

No. 9
{"formula": "VMoAu", "functional": "GGA-PBE", "state": "optimized geometry", "energy_ev_per_atom": -7.5160, "dos_ef_per_ev_atom": 0.83, "formation_enthalpy_0k_ev_per_atom": 0.226, "total_magnetization_mub_per_fu": 0.00, "lattice": [[-0.616, 2.226, -1.218], [-4.399, -1.234, -0.032], [1.678, 2.388, 3.516]], "species": ["Mo", "Au", "V"], "frac_coords": [[0.632, 0.667, 0.333], [0.100, 0.000, 0.000], [0.269, 0.333, 0.667]]}

---

No. 10
{"formula": "V6MoAu", "functional": "GGA-PBE", "state": "optimized geometry", "energy_ev_per_atom": -8.4932, "dos_ef_per_ev_atom": 1.20, "formation_enthalpy_0k_ev_per_atom": 0.109, "total_magnetization_mub_per_fu": 0.00, "lattice": [[4.554, -0.421, -0.247], [-0.465, 4.771, -3.049], [-0.465, -0.335, 5.653]], "species": ["V", "V", "V", "V", "V", "V", "Mo", "Au"], "frac_coords": [[0.512, 0.939, 0.565], [0.488, 0.435, 0.061], [0.500, 0.430, 0.570], [0.987, 0.542, 0.921], [0.013, 0.079, 0.458], [0.000, 0.073, 0.927], [0.000, 0.566, 0.434], [0.500, 0.936, 0.064]]}

---

No. 11
{"formula": "VMoAu2", "functional": "GGA-PBE", "state": "optimized geometry", "energy_ev_per_atom": -5.9958, "dos_ef_per_ev_atom": 0.70, "formation_enthalpy_0k_ev_per_atom": 0.630, "total_magnetization_mub_per_fu": 0.75, "lattice": [[7.354, 0.000, 0.000], [0.000, 7.354, 0.000], [3.677, 3.677, 2.642]], "species": ["Mo", "Mo", "Au", "Au", "Au", "Au", "V", "V"], "frac_coords": [[0.000, 0.000, 0.000], [0.750, 0.250, 0.500], [0.614, 0.125, 0.250], [0.136, 0.625, 0.250], [0.375, 0.386, 0.750], [0.875, 0.864, 0.750], [0.500, 0.500, 0.000], [0.250, 0.750, 0.500]]}

---

No. 12
{"formula": "VMoAu2", "functional": "GGA-PBE", "state": "optimized geometry", "energy_ev_per_atom": -6.2236, "dos_ef_per_ev_atom": 1.37, "formation_enthalpy_0k_ev_per_atom": 0.402, "total_magnetization_mub_per_fu": 2.94, "lattice": [[1.189, 2.365, 3.719], [-3.154, 1.094, 3.114], [0.026, -2.034, 4.087]], "species": ["Mo", "Au", "Au", "V"], "frac_coords": [[0.500, 0.500, 0.500], [0.250, 0.250, 0.250], [0.750, 0.750, 0.750], [0.000, 0.000, 0.000]]}

---

No. 13
{"formula": "V2MoAu", "functional": "GGA-PBE", "state": "optimized geometry", "energy_ev_per_atom": -7.4960, "dos_ef_per_ev_atom": 1.38, "formation_enthalpy_0k_ev_per_atom": 0.590, "total_magnetization_mub_per_fu": 0.01, "lattice": [[-5.666, 3.859, 1.037], [-3.502, -3.928, -4.514], [-5.340, -1.690, 0.288]], "species": ["Mo", "Mo", "Au", "Au", "V", "V", "V", "V"], "frac_coords": [[0.500, 0.500, 0.000], [0.250, 0.750, 0.500], [0.000, 0.000, 0.000], [0.750, 0.250, 0.500], [0.608, 0.125, 0.250], [0.142, 0.625, 0.250], [0.375, 0.392, 0.750], [0.875, 0.858, 0.750]]}

---

No. 14
{"formula": "V3Mo2Au", "functional": "GGA-PBE", "state": "optimized geometry", "energy_ev_per_atom": -8.7732, "dos_ef_per_ev_atom": 1.04, "formation_enthalpy_0k_ev_per_atom": -0.057, "total_magnetization_mub_per_fu": 0.74, "lattice": [[-0.049, 2.839, -1.322], [-1.510, 1.137, 2.497], [8.057, 1.986, 3.969]], "species": ["V", "V", "V", "Mo", "Mo", "Au"], "frac_coords": [[0.000, 0.000, 0.000], [0.000, 0.000, 0.685], [0.000, 0.000, 0.315], [0.500, 0.500, 0.833], [0.500, 0.500, 0.167], [0.500, 0.500, 0.500]]}

---

No. 15
{"formula": "V2MoAu", "functional": "GGA-PBE", "state": "optimized geometry", "energy_ev_per_atom": -7.9906, "dos_ef_per_ev_atom": 1.29, "formation_enthalpy_0k_ev_per_atom": 0.096, "total_magnetization_mub_per_fu": 0.01, "lattice": [[-0.841, -2.417, 3.584], [-2.650, -3.506, -0.281], [1.672, -4.058, 0.361]], "species": ["Mo", "Au", "V", "V"], "frac_coords": [[0.000, 0.000, 0.000], [0.500, 0.500, 0.500], [0.250, 0.250, 0.250], [0.750, 0.750, 0.750]]}

---

No. 16
{"formula": "VMoAu", "functional": "GGA-PBE", "state": "optimized geometry", "energy_ev_per_atom": -7.7584, "dos_ef_per_ev_atom": 0.74, "formation_enthalpy_0k_ev_per_atom": -0.016, "total_magnetization_mub_per_fu": 0.00, "lattice": [[-2.750, 1.558, -0.415], [0.252, -2.548, 1.012], [1.612, 5.995, 11.825]], "species": ["Mo", "Mo", "Au", "Au", "V", "V"], "frac_coords": [[0.275, 0.549, 0.085], [0.725, 0.451, 0.915], [0.284, 0.569, 0.404], [0.716, 0.431, 0.596], [0.181, 0.362, 0.762], [0.819, 0.638, 0.238]]}

---

No. 17
{"formula": "V2MoAu", "functional": "GGA-PBE", "state": "optimized geometry", "energy_ev_per_atom": -8.1216, "dos_ef_per_ev_atom": 1.12, "formation_enthalpy_0k_ev_per_atom": -0.035, "total_magnetization_mub_per_fu": 0.00, "lattice": [[3.166, 0.000, 0.000], [0.000, 3.166, 0.000], [0.000, 0.000, 6.060]], "species": ["Mo", "Au", "V", "V"], "frac_coords": [[0.500, 0.500, 0.000], [0.500, 0.500, 0.500], [0.000, 0.000, 0.773], [0.000, 0.000, 0.227]]}

---

No. 18
{"formula": "VMoAu3", "functional": "GGA-PBE", "state": "optimized geometry", "energy_ev_per_atom": -4.6328, "dos_ef_per_ev_atom": 0.82, "formation_enthalpy_0k_ev_per_atom": 1.324, "total_magnetization_mub_per_fu": 4.86, "lattice": [[-0.528, -1.141, -4.679], [4.711, 0.855, -0.740], [1.000, -4.630, 1.016]], "species": ["Mo", "Au", "Au", "Au", "V"], "frac_coords": [[0.500, 0.500, 0.500], [0.000, 0.500, 0.000], [0.000, 0.000, 0.500], [0.500, 0.000, 0.000], [0.000, 0.000, 0.000]]}

---

No. 19
{"formula": "VMoAu", "functional": "GGA-PBE", "state": "optimized geometry", "energy_ev_per_atom": -7.6083, "dos_ef_per_ev_atom": 1.08, "formation_enthalpy_0k_ev_per_atom": 0.134, "total_magnetization_mub_per_fu": 0.00, "lattice": [[-2.538, 0.744, 0.472], [0.077, -1.247, 2.378], [3.366, 5.748, 1.388]], "species": ["Mo", "Au", "V"], "frac_coords": [[0.996, 0.996, 0.993], [0.671, 0.671, 0.342], [0.333, 0.333, 0.665]]}

---

No. 20
{"formula": "V2MoAu", "functional": "GGA-PBE", "state": "optimized geometry", "energy_ev_per_atom": -8.1660, "dos_ef_per_ev_atom": 0.71, "formation_enthalpy_0k_ev_per_atom": -0.080, "total_magnetization_mub_per_fu": 0.01, "lattice": [[3.112, 0.000, -0.002], [0.000, 3.112, 0.000], [0.011, 0.000, 12.560]], "species": ["V", "V", "V", "V", "Mo", "Mo", "Au", "Au"], "frac_coords": [[0.250, 0.250, 0.707], [0.750, 0.750, 0.293], [0.250, 0.250, 0.938], [0.750, 0.750, 0.062], [0.250, 0.250, 0.180], [0.750, 0.750, 0.820], [0.250, 0.250, 0.423], [0.750, 0.750, 0.577]]}